Below is an optimized crystal structure of ReAs2Cl, with properties calculated at the PBE-GGA level.

Cell and atoms, written as POSCAR:
```
ReAs2Cl
1.0
3.132 0.000 0.000
0.000 3.133 0.000
0.000 0.000 7.417
Re As Cl
1 2 1
Cartesian
1.566 1.566 5.562
0.000 0.000 7.047
0.000 0.000 4.078
1.566 1.566 1.854
```

Summary:
Formation energy without anion corrections   94 meV per atom
Energy relative to the lowest polymorph listed for this composition   38 meV per atom
Symmetry   P4/mmm

***

Below is an optimized crystal structure of Y2ScSbC, with properties calculated at the PBE-GGA level.

Cell and atoms, written as POSCAR:
```
Y2ScSbC
1.0
-0.551 -4.805 0.735
4.182 -0.091 2.535
-2.304 0.850 3.830
Y Sb C Sc
2 1 1 1
Cartesian
2.091 -0.046 1.268
-0.275 -2.402 0.368
0.664 -2.023 3.551
0.000 0.000 0.000
-1.152 0.425 1.915
```

Summary:
Formation energy without anion corrections   -682 meV per atom
Energy relative to the lowest polymorph listed for this composition   0 meV per atom
Symmetry   P4/mmm

***

Below is an optimized crystal structure of TcIrPd, with properties calculated at the PBE-GGA level.

Cell and atoms, written as POSCAR:
```
TcIrPd
1.0
-1.889 -1.533 -4.984
-3.555 -6.711 3.411
-2.250 2.768 3.101
Ir Tc Pd
4 4 4
Cartesian
-4.610 -1.916 0.033
-3.084 -3.560 1.496
-5.263 -6.656 0.188
-2.432 1.180 1.341
-3.369 0.427 -1.158
-4.325 -5.902 2.686
-4.022 -4.313 -1.003
-3.673 -1.162 2.531
-5.770 -4.104 1.145
-1.925 -1.372 0.384
-2.867 -2.132 -2.111
-4.828 -3.343 3.640
```

Summary:
Energy of formation from the pure elements   -0.02 eV/atom
Energy relative to the lowest polymorph listed for this composition   47 meV per atom
Symmetry   C2/c

***

Below is an optimized crystal structure of CeZn2SiNi4, with properties calculated at the PBE-GGA level.

Cell and atoms, written as POSCAR:
```
CeZn2SiNi4
1.0
-0.863 -2.145 3.307
-3.252 -2.387 0.065
3.124 -7.713 -1.725
Ce Zn Si Ni
1 2 1 4
Cartesian
0.000 0.000 0.000
-0.874 -9.004 1.317
-0.118 -3.241 0.329
-0.496 -6.123 0.823
0.779 -7.882 0.015
-2.278 -7.067 2.207
1.287 -5.179 -0.561
-1.770 -4.364 1.631
```

Summary:
Formation energy without anion corrections   -343 meV per atom
Symmetry   R-3m

***

Below is an optimized crystal structure of Er8Te4PbSe3, with properties calculated at the PBE-GGA level.

Cell and atoms, written as POSCAR:
```
Er8Te4PbSe3
1.0
-6.656 4.954 -1.449
-4.792 -6.886 -1.528
4.203 0.613 7.273
Er Te Pb Se
8 4 1 3
Cartesian
-1.012 -3.165 5.643
-3.039 -3.460 2.132
-0.913 -0.351 2.996
-4.224 -0.774 4.944
-3.021 -0.544 -0.648
-6.332 -0.968 1.301
-4.206 2.142 2.164
-6.233 1.846 -1.347
-3.328 2.477 -0.724
-1.227 2.784 2.912
0.000 0.000 0.000
2.101 0.307 3.636
-2.396 -3.443 -0.764
-5.724 -0.966 -1.488
-3.623 -0.659 2.148
-0.295 -3.136 2.873
```

Summary:
Formation energy without anion corrections   -1323 meV per atom
Symmetry   R-3m

***

Below is an optimized crystal structure of LiSnRu, with properties calculated at the PBE-GGA level.

Cell and atoms, written as POSCAR:
```
LiSnRu
1.0
3.349 0.000 0.000
0.000 3.349 0.000
-1.674 -1.674 4.193
Ru Sn Li
1 1 1
Cartesian
0.000 0.000 2.349
1.674 1.674 3.732
1.674 1.674 1.047
```

Summary:
Energy of formation from the pure elements   -0.13 eV/atom
Symmetry   I4mm

***

Below is an optimized crystal structure of MgIn2Pb3, with properties calculated at the PBE-GGA level.

Cell and atoms, written as POSCAR:
```
MgIn2Pb3
1.0
3.494 0.000 0.573
1.056 8.423 4.500
-0.071 -0.674 11.372
Mg In Pb
2 4 6
Cartesian
2.020 -0.315 9.562
2.459 8.064 6.883
3.152 4.821 13.595
1.327 2.928 2.850
1.085 6.816 4.323
3.394 0.934 12.121
2.740 0.765 5.167
3.954 5.737 8.708
2.631 4.210 5.836
1.739 6.984 11.277
1.848 3.539 10.608
0.525 2.012 7.737
```

Summary:
Energy of formation from the pure elements   0.00 eV/atom
Energy relative to the lowest polymorph listed for this composition   0 meV per atom
Symmetry   C2/m

***

Below is an optimized crystal structure of AlCr2In, with properties calculated at the PBE-GGA level.

Cell and atoms, written as POSCAR:
```
AlCr2In
1.0
3.934 0.000 0.000
0.000 2.816 0.013
0.000 2.517 5.593
Cr Al In
2 1 1
Cartesian
0.000 2.446 5.310
0.000 2.738 3.085
1.967 4.000 4.204
1.967 1.333 1.401
```

Summary:
Energy of formation from the pure elements   0.30 eV/atom
Symmetry   P2/m

***

Below is an optimized crystal structure of YEr3Ni8, with properties calculated at the PBE-GGA level.

Cell and atoms, written as POSCAR:
```
YEr3Ni8
1.0
4.830 0.000 1.458
2.195 4.303 1.458
-0.009 -0.006 8.760
Y Er Ni
1 3 8
Cartesian
6.144 3.763 5.834
2.626 1.608 8.760
-0.008 -0.005 8.755
3.504 2.146 5.849
5.490 1.883 3.637
4.158 4.030 8.035
3.075 1.883 2.907
6.581 4.030 8.767
1.312 0.804 4.383
4.821 2.953 10.218
4.172 4.035 3.637
5.480 1.872 8.035
```

Summary:
Energy of formation from the pure elements   -0.46 eV/atom
Symmetry   R3m

***

Below is an optimized crystal structure of Ba2UI8, with properties calculated at the PBE-GGA level.

Cell and atoms, written as POSCAR:
```
Ba2UI8
1.0
6.947 0.000 -3.309
0.044 8.598 0.092
0.319 0.121 9.615
I U Ba
8 1 2
Cartesian
5.354 2.399 6.842
1.939 2.399 8.469
1.955 6.320 -0.444
4.898 3.705 1.336
5.370 6.320 -2.071
1.279 0.482 2.684
6.031 8.237 3.714
2.412 5.013 5.063
0.000 0.000 0.000
1.050 3.957 2.204
6.259 4.762 4.194
```

Summary:
Formation energy without anion corrections   -1292 meV per atom
Symmetry   C2/m

***

Below is an optimized crystal structure of Ba2Na2S, with properties calculated at the PBE-GGA level.

Cell and atoms, written as POSCAR:
```
Ba2Na2S
1.0
8.417 0.000 0.000
0.000 8.417 0.000
0.000 0.000 6.955
Na S Ba
4 2 4
Cartesian
1.172 5.381 3.478
5.381 7.245 3.478
7.245 3.036 3.478
3.036 1.172 3.478
0.000 0.000 0.000
4.209 4.209 0.000
2.623 6.831 0.000
6.831 5.794 0.000
5.794 1.586 0.000
1.586 2.623 0.000
```

Summary:
Formation energy without anion corrections   -540 meV per atom
Symmetry   P4/mbm

***

Below is an optimized crystal structure of GdHPd2, with properties calculated at the PBE-GGA level.

Cell and atoms, written as POSCAR:
```
GdHPd2
1.0
3.102 0.000 0.000
1.551 2.687 0.000
1.551 0.896 7.569
H Gd Pd
1 1 2
Cartesian
3.102 1.791 3.784
0.000 0.000 0.000
4.654 2.687 2.673
1.551 0.896 4.895
```

Summary:
Final energy   -27.63 eV for the cell shown
Symmetry   R-3m

***

Below is an optimized crystal structure of ZrTe, with properties calculated at the PBE-GGA level.

Cell and atoms, written as POSCAR:
```
ZrTe
1.0
3.695 0.000 0.000
-1.848 3.200 0.000
0.000 0.000 9.594
Zr Te
2 2
Cartesian
0.000 2.134 3.756
1.848 1.067 8.553
0.000 2.134 6.625
1.848 1.067 1.828
```

Summary:
Formation energy without anion corrections   -356 meV per atom
Symmetry   P6_3mc

***

Below is an optimized crystal structure of TaAsRh2, with properties calculated at the PBE-GGA level.

Cell and atoms, written as POSCAR:
```
TaAsRh2
1.0
4.887 -0.005 -0.002
3.979 2.837 -0.002
0.311 0.099 4.553
As Rh Ta
1 2 1
Cartesian
2.317 0.740 0.958
0.136 0.044 0.076
6.867 2.193 3.374
4.446 1.420 2.416
```

Summary:
Energy of formation from the pure elements   -0.31 eV/atom
Symmetry   Cm

***

Below is an optimized crystal structure of LiEu3, with properties calculated at the PBE-GGA level.

Cell and atoms, written as POSCAR:
```
LiEu3
1.0
0.493 5.805 -4.880
-5.832 -0.397 4.856
3.223 3.201 4.133
Li Eu
2 6
Cartesian
-0.810 4.538 -0.602
-1.306 4.071 4.710
1.841 7.157 -0.135
1.598 4.296 2.270
-1.033 6.961 2.259
-3.957 1.452 4.243
-3.714 4.312 1.838
-1.083 1.647 1.850
```

Summary:
Energy of formation from the pure elements   0.10 eV/atom
Energy relative to the lowest polymorph listed for this composition   57 meV per atom
Symmetry   P6_3/mmc

***

Below is an optimized crystal structure of Sc4IrAu, with properties calculated at the PBE-GGA level.

Cell and atoms, written as POSCAR:
```
Sc4IrAu
1.0
4.586 0.000 -0.001
0.000 4.587 -0.001
0.004 0.007 6.513
Sc Ir Au
4 1 1
Cartesian
2.299 4.575 1.695
2.303 4.581 4.792
0.010 2.287 4.793
0.006 2.282 1.696
0.008 4.578 3.244
2.303 2.288 6.501
```

Summary:
Energy of formation from the pure elements   -0.58 eV/atom
Energy relative to the lowest polymorph listed for this composition   85 meV per atom
Symmetry   P4/mmm

***

Below is an optimized crystal structure of KC2, with properties calculated at the PBE-GGA level.

Cell and atoms, written as POSCAR:
```
KC2
1.0
-3.417 -4.459 -4.488
7.139 -0.336 0.793
-0.597 -3.603 4.005
K C
3 6
Cartesian
0.000 0.000 0.000
3.392 -3.484 1.070
-0.267 -4.914 -0.761
-0.963 -2.698 1.096
2.726 -5.706 -0.994
1.131 -1.881 2.143
1.994 -6.517 -1.834
0.399 -2.691 1.304
4.088 -5.699 -0.786
```

Summary:
Energy of formation from the pure elements   0.68 eV/atom
Energy relative to the lowest polymorph listed for this composition   178 meV per atom
Symmetry   C2/m

***

Below is an optimized crystal structure of La8CeY2, with properties calculated at the PBE-GGA level.

Cell and atoms, written as POSCAR:
```
La8CeY2
1.0
5.594 0.000 -1.699
-0.995 7.365 -3.276
-0.137 -0.223 9.610
La Ce Y
8 1 2
Cartesian
2.653 6.120 -1.324
1.394 4.103 4.590
0.704 1.126 2.320
-0.280 2.071 -0.921
3.758 6.016 2.316
3.069 3.039 0.046
1.810 1.022 5.960
4.742 5.071 5.557
2.797 0.000 -0.849
0.372 5.073 1.226
4.090 2.069 3.410
```

Summary:
Energy of formation from the pure elements   0.10 eV/atom
Symmetry   Immm

***

Below is an optimized crystal structure of MoRuSe, with properties calculated at the PBE-GGA level.

Cell and atoms, written as POSCAR:
```
MoRuSe
1.0
4.222 0.000 0.000
2.111 3.656 0.000
2.111 1.219 3.447
Mo Ru Se
1 1 1
Cartesian
4.222 2.438 1.724
2.111 1.219 0.862
0.000 0.000 0.000
```

Summary:
Formation energy without anion corrections   287 meV per atom
Energy relative to the lowest polymorph listed for this composition   231 meV per atom
Symmetry   F-43m

***

Below is an optimized crystal structure of LiRuBr2, with properties calculated at the PBE-GGA level.

Cell and atoms, written as POSCAR:
```
LiRuBr2
1.0
-5.224 -5.482 -1.445
-4.550 -5.003 3.702
2.990 7.028 -1.047
Br Li Ru
2 1 1
Cartesian
0.000 0.000 0.000
-3.223 -1.608 1.892
-4.887 -5.242 1.129
-3.560 -1.848 -0.681
```

Summary:
Formation energy without anion corrections   -27 meV per atom
Energy relative to the lowest polymorph listed for this composition   142 meV per atom
Symmetry   I-4m2

***

Values for D(E_F), states/eV/atom, ordered as above
0.4219 0.6836 0.7915 0.9375 0.3798 0.4841 0.4775 0.9492 0.5685 0.4281 0.6016 0.6189 0.4560 0.6767 0.9188 1.3292 0.1724 1.8813 1.1285 0.9861